[1]
Density functional theory data (PBE) for Na2Zn3InAu12 after structural relaxation.

The structure in extended XYZ format:
```
18
Lattice="7.532 -0.702 -0.498 3.109 6.896 -0.498 3.109 1.810 6.673" Properties=species:S:1:pos:R:3 pbc="T T T"
Au 4.594 5.401 3.831
Au 3.716 2.163 3.947
Au 10.033 5.840 1.730
Au 9.156 2.603 1.846
Au 6.785 6.676 1.846
Au 3.716 4.440 0.737
Au 5.696 1.039 0.737
Au 10.033 3.564 4.940
Au 6.965 4.054 -0.014
Au 8.054 6.964 4.940
Au 6.965 1.327 3.831
Au 6.785 3.949 5.690
Na 8.007 4.661 3.306
Na 5.743 3.343 2.371
In 0.000 0.000 0.000
Zn 1.554 0.905 3.336
Zn 1.554 3.448 -0.249
Zn 3.766 -0.351 -0.249
```

Properties
- D(E_F): 4.3 states/eV/f.u.
- Crystal system: trigonal
- M_tot: 0.000 μB per cell
- ΔE_f: 0.02 eV per atom


[2]
Density functional theory data (PBE) for NaZrInAu after structural relaxation.

The structure in extended XYZ format:
```
4
Lattice="-4.615 -0.905 1.521 -0.820 -3.317 3.572 -1.466 1.499 4.476" Properties=species:S:1:pos:R:3 pbc="T T T"
Na -5.176 -2.042 7.177
Zr -1.725 -0.681 2.392
Au 0.000 0.000 0.000
In -3.451 -1.361 4.784
```

Properties
- D(E_F): 2.4 states/eV/f.u.
- Crystal system: cubic
- M_tot: 0.000 μB per cell
- ΔE_f: -0.16 eV per atom


[3]
Density functional theory data (PBE) for NbIn3Au after structural relaxation.

The structure in extended XYZ format:
```
5
Lattice="-2.749 3.327 -2.978 1.545 -2.572 -4.300 -4.189 -3.132 0.368" Properties=species:S:1:pos:R:3 pbc="T T T"
Au 0.000 0.000 0.000
In -1.374 1.664 -1.489
In 0.773 -1.286 -2.150
In -2.095 -1.566 0.184
Nb -2.697 -1.188 -3.455
```

Properties
- D(E_F): 5.8 states/eV/f.u.
- Energy relative to the lowest polymorph listed for this composition: 0.0372 eV/atom
- Crystal system: cubic
- M_tot: 2.994 μB per cell
- ΔE_f: 0.86 eV per atom


[4]
Density functional theory data (PBE) for Nb4InAu after structural relaxation.

The structure in extended XYZ format:
```
6
Lattice="-0.302 2.562 -2.392 1.640 -2.760 -3.164 -6.394 -3.453 -0.303" Properties=species:S:1:pos:R:3 pbc="T T T"
In 0.669 -0.099 -2.778
Nb -4.328 -1.436 -0.991
Nb -0.728 -2.214 -4.868
Nb -3.643 -1.530 -3.766
Nb -1.412 -2.121 -2.093
Au 0.000 0.000 0.000
```

Properties
- D(E_F): 3.6 states/eV/f.u.
- Crystal system: orthorhombic
- M_tot: 0.000 μB per cell
- ΔE_f: -0.11 eV per atom


[5]
Density functional theory data (PBE) for Nb2In2Au after structural relaxation.

The structure in extended XYZ format:
```
10
Lattice="7.278 0.000 0.000 0.000 7.278 0.000 0.000 0.000 4.039" Properties=species:S:1:pos:R:3 pbc="T T T"
In 1.302 4.941 2.020
In 5.976 2.337 2.020
In 4.941 5.976 2.020
In 2.337 1.302 2.020
Nb 6.394 4.523 0.000
Nb 4.523 0.884 0.000
Nb 0.884 2.755 0.000
Nb 2.755 6.394 0.000
Au 0.000 0.000 0.000
Au 3.639 3.639 0.000
```

Properties
- D(E_F): 4.3 states/eV/f.u.
- Crystal system: tetragonal
- M_tot: 0.000 μB per cell
- ΔE_f: 0.21 eV per atom


[6]
Density functional theory data (PBE) for Nb12In3Au after structural relaxation.

The structure in extended XYZ format:
```
16
Lattice="5.313 0.000 0.000 0.000 5.307 0.000 0.000 0.000 10.634" Properties=species:S:1:pos:R:3 pbc="T T T"
In 0.000 0.000 0.000
In 2.657 2.654 7.981
In 2.657 2.654 2.653
Nb 2.657 0.000 9.264
Nb 1.342 2.654 0.000
Nb 0.000 1.314 2.698
Nb 4.010 2.654 5.317
Nb 2.657 0.000 1.370
Nb 1.303 2.654 5.317
Nb 2.657 0.000 6.595
Nb 0.000 3.994 7.936
Nb 3.972 2.654 0.000
Nb 0.000 3.994 2.698
Nb 0.000 1.314 7.936
Nb 2.657 0.000 4.038
Au 0.000 0.000 5.317
```

Properties
- D(E_F): 26.6 states/eV/f.u.
- Crystal system: orthorhombic
- M_tot: 0.000 μB per cell
- ΔE_f: -0.02 eV per atom


[7]
Density functional theory data (PBE) for NbInAu3 after structural relaxation.

The structure in extended XYZ format:
```
5
Lattice="-3.088 -2.482 -3.367 -0.130 -4.126 3.161 -4.181 1.962 2.388" Properties=species:S:1:pos:R:3 pbc="T T T"
Au -1.544 -1.241 -1.683
Au -2.090 0.981 1.194
Au -0.065 -2.063 1.581
In -3.700 -2.323 1.091
Nb 0.000 0.000 0.000
```

Properties
- D(E_F): 4.0 states/eV/f.u.
- Energy relative to the lowest polymorph listed for this composition: 0.0000 eV/atom
- Crystal system: cubic
- M_tot: 0.000 μB per cell
- ΔE_f: 0.70 eV per atom


[8]
Density functional theory data (PBE) for NbIn3Au after structural relaxation.

The structure in extended XYZ format:
```
5
Lattice="5.409 0.000 0.000 0.000 5.409 0.000 0.000 0.000 5.409" Properties=species:S:1:pos:R:3 pbc="T T T"
In 2.704 0.000 0.000
In 0.000 2.704 0.000
In 0.000 0.000 2.704
Nb 0.000 0.000 0.000
Au 2.704 2.704 2.704
```

Properties
- D(E_F): 5.6 states/eV/f.u.
- Energy relative to the lowest polymorph listed for this composition: 0.0000 eV/atom
- Crystal system: cubic
- M_tot: 0.000 μB per cell
- ΔE_f: 0.82 eV per atom


[9]
Density functional theory data (PBE) for NbInNiAu after structural relaxation.

The structure in extended XYZ format:
```
4
Lattice="4.594 0.000 0.000 2.297 3.978 0.000 2.297 1.326 3.751" Properties=species:S:1:pos:R:3 pbc="T T T"
Nb 2.297 1.326 0.938
Ni 0.000 0.000 0.000
Au 4.594 2.652 1.875
In 6.891 3.978 2.813
```

Properties
- D(E_F): 2.3 states/eV/f.u.
- Crystal system: cubic
- M_tot: 0.000 μB per cell
- ΔE_f: 0.00 eV per atom


[10]
Density functional theory data (PBE) for Nb2InPtAu after structural relaxation.

The structure in extended XYZ format:
```
5
Lattice="4.985 0.000 0.000 0.000 4.912 0.000 0.000 0.000 4.985" Properties=species:S:1:pos:R:3 pbc="T T T"
Nb 2.492 0.000 0.000
Nb 0.000 0.000 2.492
In 0.000 2.456 0.000
Pt 2.492 2.456 2.492
Au 0.000 0.000 0.000
```

Properties
- D(E_F): 5.9 states/eV/f.u.
- Crystal system: tetragonal
- M_tot: 0.631 μB per cell
- ΔE_f: 1.34 eV per atom


[11]
Density functional theory data (PBE) for NbIn2AuSe after structural relaxation.

The structure in extended XYZ format:
```
5
Lattice="5.551 0.000 0.000 0.000 5.029 0.000 0.000 0.000 5.551" Properties=species:S:1:pos:R:3 pbc="T T T"
In 0.000 0.000 2.775
In 2.775 0.000 0.000
Se 2.775 2.514 2.775
Au 0.000 2.514 0.000
Nb 0.000 0.000 0.000
```

Properties
- Formation energy without anion corrections: 0.800 eV/atom
- D(E_F): 5.0 states/eV/f.u.
- Crystal system: tetragonal
- M_tot: 1.478 μB per cell


[12]
Density functional theory data (PBE) for TaNb2InAu after structural relaxation.

The structure in extended XYZ format:
```
5
Lattice="4.981 0.000 0.000 0.000 4.948 0.000 0.000 0.000 4.981" Properties=species:S:1:pos:R:3 pbc="T T T"
Nb 2.490 0.000 0.000
Nb 0.000 0.000 2.490
In 2.490 2.474 2.490
Au 0.000 0.000 0.000
Ta 0.000 2.474 0.000
```

Properties
- D(E_F): 5.1 states/eV/f.u.
- Crystal system: tetragonal
- M_tot: 0.000 μB per cell
- ΔE_f: 1.37 eV per atom